Entry 1:
VASP calculation (PBE) on MgBiI3 after structural relaxation.

```
data_MgBiI3
_chemical_formula_sum 'Mg1 Bi1 I3'
_cell_length_a 5.650
_cell_length_b 5.650
_cell_length_c 5.650
_cell_angle_alpha 90.00
_cell_angle_beta 90.00
_cell_angle_gamma 90.00
_symmetry_space_group_name_H-M 'P m -3 m'
_symmetry_Int_Tables_number 221
_symmetry_space_group_name_Hall '-P 4 2 3'
loop_
_atom_site_label
_atom_site_type_symbol
_atom_site_fract_x
_atom_site_fract_y
_atom_site_fract_z
Mg1 Mg 0.000 0.000 0.000
Bi1 Bi 0.500 0.500 0.500
I1 I 0.000 0.000 0.500
```

Properties
Raw formation energy, meV per atom: -211
ΔE to the lowest computed polymorph, eV/atom: 0.000
Crystal system: cubic
Fermi-level density of states, states/eV/atom: 0.865


Entry 2:
VASP calculation (PBE) on MgBiI2 after structural relaxation.

```
data_MgBiI2
_chemical_formula_sum 'Mg3 Bi3 I6'
_cell_length_a 3.8992
_cell_length_b 3.8992
_cell_length_c 37.3960
_cell_angle_alpha 90.00
_cell_angle_beta 90.00
_cell_angle_gamma 120.00
_symmetry_space_group_name_H-M 'R -3 m'
_symmetry_Int_Tables_number 166
_symmetry_space_group_name_Hall '-R 3 2"'
loop_
_atom_site_label
_atom_site_type_symbol
_atom_site_fract_x
_atom_site_fract_y
_atom_site_fract_z
Mg1 Mg 0.0000 0.0000 0.0000
Bi1 Bi 0.0000 0.0000 0.5000
I1 I 0.0000 0.0000 0.3810
```

Properties
Raw formation energy, meV per atom: -405
ΔE to the lowest computed polymorph, eV/atom: 0.000
Crystal system: trigonal
Fermi-level density of states, states/eV/atom: 0.552